1.
Here is crystalline NaGeP2I at its relaxed geometry from the Alexandria database. Energies are from GGA-PBE.

abc: 5.304 5.304 5.446
angles: 90.00 90.00 90.00
Atoms (fractional coordinates):
I 0.000 0.000 0.000
P 0.000 0.500 0.000
P 0.500 0.000 0.000
Ge 0.000 0.000 0.500
Na 0.500 0.500 0.500

## Properties
- Crystal system: tetragonal
- Formation energy (no corrections): 1040 meV per atom

=====

2.
Here is crystalline Na4Zr3TiTe8 at its relaxed geometry from the Alexandria database. Energies are from GGA-PBE.

abc: 8.170 9.126 8.172
angles: 116.64 119.99 90.00
Last column: magnetic moment on the atom in μB.
Atoms (fractional coordinates):
Na 0.500 0.000 0.000  0.00
Na 0.500 0.000 0.500  0.00
Na 0.000 0.000 0.000  0.00
Na 0.000 0.000 0.500  0.00
Zr 0.500 0.500 0.000  0.17
Zr 0.500 0.500 0.500  0.17
Zr 0.000 0.500 0.500  0.17
Ti 0.000 0.500 0.000  1.10
Te 0.237 0.722 0.985  -0.01
Te 0.237 0.722 0.474  -0.01
Te 0.258 0.274 0.516  -0.01
Te 0.748 0.722 0.985  -0.01
Te 0.252 0.278 0.015  -0.01
Te 0.742 0.726 0.484  -0.01
Te 0.763 0.278 0.526  -0.01
Te 0.763 0.278 0.015  -0.01

## Properties
- Crystal system: trigonal
- Formation energy (no corrections): -878 meV per atom

=====

3.
Here is crystalline SrY3Ir at its relaxed geometry from the Alexandria database. Energies are from GGA-PBE.

abc: 13.228 9.840 9.840
angles: 87.49 126.43 53.57
Atoms (fractional coordinates):
Y 0.355 0.478 0.396
Y 0.145 0.896 0.978
Y 0.645 0.522 0.604
Y 0.855 0.104 0.022
Y 0.094 0.240 0.126
Y 0.406 0.626 0.740
Y 0.906 0.760 0.874
Y 0.594 0.374 0.260
Y 0.488 0.902 0.672
Y 0.012 0.172 0.402
Y 0.512 0.098 0.328
Y 0.988 0.828 0.598
Sr 0.984 0.576 0.297
Sr 0.516 0.797 0.076
Sr 0.016 0.424 0.703
Sr 0.484 0.203 0.924
Ir 0.750 0.136 0.636
Ir 0.250 0.864 0.364
Ir 0.750 0.487 0.987
Ir 0.250 0.513 0.013

## Properties
- Formation energy from the elements: -0.283 eV per atom
- Crystal system: monoclinic
- Offset from the most stable computed form: 0.087 eV/atom